No. 1
Density functional theory data (PBE) for a relaxed Dy3Th4ScSe8 crystal.

Structure (CIF):
```
data_Dy3Th4ScSe8
_chemical_formula_sum 'Dy3 Th4 Sc1 Se8'
_cell_length_a 8.462
_cell_length_b 8.462
_cell_length_c 8.462
_cell_angle_alpha 56.58
_cell_angle_beta 56.58
_cell_angle_gamma 56.58
_symmetry_space_group_name_H-M 'P 1'
_symmetry_Int_Tables_number 1
loop_
_symmetry_equiv_pos_as_xyz
'x,y,z'
loop_
_atom_site_label
_atom_site_type_symbol
_atom_site_fract_x
_atom_site_fract_y
_atom_site_fract_z
Dy1 Dy 0.000 0.500 0.500
Dy2 Dy 0.500 0.000 0.500
Dy3 Dy 0.500 0.500 0.000
Th1 Th 0.000 0.000 0.500
Th2 Th 0.000 0.500 0.000
Th3 Th 0.500 0.000 0.000
Th4 Th 0.500 0.500 0.500
Sc1 Sc 0.000 0.000 0.000
Se1 Se 0.239 0.239 0.750
Se2 Se 0.239 0.750 0.239
Se3 Se 0.250 0.761 0.761
Se4 Se 0.256 0.256 0.256
Se5 Se 0.744 0.744 0.744
Se6 Se 0.750 0.239 0.239
Se7 Se 0.761 0.250 0.761
Se8 Se 0.761 0.761 0.250
```

Symmetry: R-3m, No. 166
ΔE_f (raw): -1.619 eV/atom

No. 2
Density functional theory data (PBE) for a relaxed LiCu2Hg crystal.

Structure (CIF):
```
data_LiCu2Hg
_chemical_formula_sum 'Li1 Cu2 Hg1'
_cell_length_a 4.358
_cell_length_b 4.358
_cell_length_c 4.358
_cell_angle_alpha 60.00
_cell_angle_beta 60.00
_cell_angle_gamma 60.00
_symmetry_space_group_name_H-M 'P 1'
_symmetry_Int_Tables_number 1
loop_
_symmetry_equiv_pos_as_xyz
'x,y,z'
loop_
_atom_site_label
_atom_site_type_symbol
_atom_site_fract_x
_atom_site_fract_y
_atom_site_fract_z
Li1 Li 0.000 0.000 0.000
Cu1 Cu 0.250 0.250 0.250
Cu2 Cu 0.500 0.500 0.500
Hg1 Hg 0.750 0.750 0.750
```

DFT formation energy: -4 kJ per mole of atoms
Symmetry: F-43m, No. 216

No. 3
Density functional theory data (PBE) for a relaxed LiTaW crystal.

Structure (CIF):
```
data_LiTaW
_chemical_formula_sum 'Li1 Ta1 W1'
_cell_length_a 4.978
_cell_length_b 4.978
_cell_length_c 4.978
_cell_angle_alpha 149.69
_cell_angle_beta 127.20
_cell_angle_gamma 62.11
_symmetry_space_group_name_H-M 'P 1'
_symmetry_Int_Tables_number 1
loop_
_symmetry_equiv_pos_as_xyz
'x,y,z'
loop_
_atom_site_label
_atom_site_type_symbol
_atom_site_fract_x
_atom_site_fract_y
_atom_site_fract_z
Li1 Li 0.000 0.000 0.000
Ta1 Ta 0.671 0.671 0.000
W1 W 0.332 0.332 0.000
```

DFT formation energy: 40 kJ per mole of atoms
E above lowest polymorph: 256.2 meV/atom
Symmetry: Imm2, No. 44

No. 4
Density functional theory data (PBE) for a relaxed Pm4NiRu2 crystal.

Structure (CIF):
```
data_Pm4NiRu2
_chemical_formula_sum 'Pm4 Ni1 Ru2'
_cell_length_a 8.524
_cell_length_b 8.524
_cell_length_c 8.524
_cell_angle_alpha 33.42
_cell_angle_beta 33.42
_cell_angle_gamma 33.42
_symmetry_space_group_name_H-M 'P 1'
_symmetry_Int_Tables_number 1
loop_
_symmetry_equiv_pos_as_xyz
'x,y,z'
loop_
_atom_site_label
_atom_site_type_symbol
_atom_site_fract_x
_atom_site_fract_y
_atom_site_fract_z
Pm1 Pm 0.124 0.124 0.124
Pm2 Pm 0.374 0.374 0.374
Pm3 Pm 0.626 0.626 0.626
Pm4 Pm 0.876 0.876 0.876
Ni1 Ni 0.500 0.500 0.500
Ru1 Ru 0.248 0.248 0.248
Ru2 Ru 0.752 0.752 0.752
```

DFT formation energy: -20 kJ per mole of atoms
E above lowest polymorph: 0.0 meV/atom
Symmetry: R-3m, No. 166

No. 5
Density functional theory data (PBE) for a relaxed Tb2CdGe crystal.

Structure (CIF):
```
data_Tb2CdGe
_chemical_formula_sum 'Tb2 Cd1 Ge1'
_cell_length_a 5.043
_cell_length_b 5.043
_cell_length_c 3.832
_cell_angle_alpha 90.00
_cell_angle_beta 90.00
_cell_angle_gamma 90.00
_symmetry_space_group_name_H-M 'P 1'
_symmetry_Int_Tables_number 1
loop_
_symmetry_equiv_pos_as_xyz
'x,y,z'
loop_
_atom_site_label
_atom_site_type_symbol
_atom_site_fract_x
_atom_site_fract_y
_atom_site_fract_z
Tb1 Tb 0.000 0.500 0.000
Tb2 Tb 0.500 0.000 0.000
Cd1 Cd 0.000 0.000 0.500
Ge1 Ge 0.500 0.500 0.500
```

DFT formation energy: -48 kJ per mole of atoms
Symmetry: P4/mmm, No. 123

No. 6
Density functional theory data (PBE) for a relaxed Th2OsCl crystal.

Structure (CIF):
```
data_Th2OsCl
_chemical_formula_sum 'Th2 Os1 Cl1'
_cell_length_a 7.963
_cell_length_b 7.963
_cell_length_c 7.963
_cell_angle_alpha 30.50
_cell_angle_beta 30.50
_cell_angle_gamma 30.50
_symmetry_space_group_name_H-M 'P 1'
_symmetry_Int_Tables_number 1
loop_
_symmetry_equiv_pos_as_xyz
'x,y,z'
loop_
_atom_site_label
_atom_site_type_symbol
_atom_site_fract_x
_atom_site_fract_y
_atom_site_fract_z
Th1 Th 0.231 0.231 0.231
Th2 Th 0.769 0.769 0.769
Os1 Os 0.500 0.500 0.500
Cl1 Cl 0.000 0.000 0.000
```

E above lowest polymorph: 0.0 meV/atom
Symmetry: R-3m, No. 166
ΔE_f (raw): -0.899 eV/atom

No. 7
Density functional theory data (PBE) for a relaxed NbSiOs2 crystal.

Structure (CIF):
```
data_NbSiOs2
_chemical_formula_sum 'Nb1 Si1 Os2'
_cell_length_a 2.992
_cell_length_b 2.992
_cell_length_c 6.496
_cell_angle_alpha 90.00
_cell_angle_beta 90.00
_cell_angle_gamma 90.00
_symmetry_space_group_name_H-M 'P 1'
_symmetry_Int_Tables_number 1
loop_
_symmetry_equiv_pos_as_xyz
'x,y,z'
loop_
_atom_site_label
_atom_site_type_symbol
_atom_site_fract_x
_atom_site_fract_y
_atom_site_fract_z
Nb1 Nb 0.000 0.000 0.000
Si1 Si 0.000 0.000 0.500
Os1 Os 0.500 0.500 0.282
Os2 Os 0.500 0.500 0.718
```

Symmetry: P4/mmm, No. 123
ΔE_f (raw): -0.297 eV/atom

No. 8
Density functional theory data (PBE) for a relaxed Y3CrNi crystal.

Structure (CIF):
```
data_Y3CrNi
_chemical_formula_sum 'Y3 Cr1 Ni1'
_cell_length_a 5.145
_cell_length_b 5.145
_cell_length_c 5.145
_cell_angle_alpha 90.00
_cell_angle_beta 90.00
_cell_angle_gamma 90.00
_symmetry_space_group_name_H-M 'P 1'
_symmetry_Int_Tables_number 1
loop_
_symmetry_equiv_pos_as_xyz
'x,y,z'
loop_
_atom_site_label
_atom_site_type_symbol
_atom_site_fract_x
_atom_site_fract_y
_atom_site_fract_z
Y1 Y 0.000 0.000 0.500
Y2 Y 0.000 0.500 0.000
Y3 Y 0.500 0.000 0.000
Cr1 Cr 0.500 0.500 0.500
Ni1 Ni 0.000 0.000 0.000
```

DFT formation energy: 62 kJ per mole of atoms
E above lowest polymorph: 0.0 meV/atom
Symmetry: Pm-3m, No. 221

No. 9
Density functional theory data (PBE) for a relaxed TlZnGe2N crystal.

Structure (CIF):
```
data_TlZnGe2N
_chemical_formula_sum 'Tl1 Zn1 Ge2 N1'
_cell_length_a 5.052
_cell_length_b 5.052
_cell_length_c 3.697
_cell_angle_alpha 90.00
_cell_angle_beta 90.00
_cell_angle_gamma 90.00
_symmetry_space_group_name_H-M 'P 1'
_symmetry_Int_Tables_number 1
loop_
_symmetry_equiv_pos_as_xyz
'x,y,z'
loop_
_atom_site_label
_atom_site_type_symbol
_atom_site_fract_x
_atom_site_fract_y
_atom_site_fract_z
Tl1 Tl 0.000 0.000 0.000
Zn1 Zn 0.500 0.500 0.000
Ge1 Ge 0.000 0.500 0.500
Ge2 Ge 0.500 0.000 0.500
N1 N 0.500 0.500 0.500
```

Symmetry: P4/mmm, No. 123
ΔE_f (raw): 0.502 eV/atom

No. 10
Density functional theory data (PBE) for a relaxed TiSiTc3 crystal.

Structure (CIF):
```
data_TiSiTc3
_chemical_formula_sum 'Ti1 Si1 Tc3'
_cell_length_a 4.508
_cell_length_b 4.508
_cell_length_c 4.508
_cell_angle_alpha 90.00
_cell_angle_beta 90.00
_cell_angle_gamma 90.00
_symmetry_space_group_name_H-M 'P 1'
_symmetry_Int_Tables_number 1
loop_
_symmetry_equiv_pos_as_xyz
'x,y,z'
loop_
_atom_site_label
_atom_site_type_symbol
_atom_site_fract_x
_atom_site_fract_y
_atom_site_fract_z
Ti1 Ti 0.000 0.000 0.000
Si1 Si 0.500 0.500 0.500
Tc1 Tc 0.000 0.000 0.500
Tc2 Tc 0.000 0.500 0.000
Tc3 Tc 0.500 0.000 0.000
```

E above lowest polymorph: 916.9 meV/atom
Symmetry: Pm-3m, No. 221
ΔE_f (raw): 1.472 eV/atom

No. 11
Density functional theory data (PBE) for a relaxed Pm4ScAu5 crystal.

Structure (CIF):
```
data_Pm4ScAu5
_chemical_formula_sum 'Pm4 Sc1 Au5'
_cell_length_a 3.602
_cell_length_b 3.602
_cell_length_c 18.513
_cell_angle_alpha 90.00
_cell_angle_beta 90.00
_cell_angle_gamma 90.00
_symmetry_space_group_name_H-M 'P 1'
_symmetry_Int_Tables_number 1
loop_
_symmetry_equiv_pos_as_xyz
'x,y,z'
loop_
_atom_site_label
_atom_site_type_symbol
_atom_site_fract_x
_atom_site_fract_y
_atom_site_fract_z
Pm1 Pm 0.000 0.000 0.103
Pm2 Pm 0.000 0.000 0.309
Pm3 Pm 0.000 0.000 0.691
Pm4 Pm 0.000 0.000 0.897
Sc1 Sc 0.000 0.000 0.500
Au1 Au 0.500 0.500 0.000
Au2 Au 0.500 0.500 0.206
Au3 Au 0.500 0.500 0.417
Au4 Au 0.500 0.500 0.583
Au5 Au 0.500 0.500 0.794
```

DFT formation energy: -75 kJ per mole of atoms
Symmetry: P4/mmm, No. 123

No. 12
Density functional theory data (PBE) for a relaxed YMnMo2 crystal.

Structure (CIF):
```
data_YMnMo2
_chemical_formula_sum 'Y1 Mn1 Mo2'
_cell_length_a 5.456
_cell_length_b 5.456
_cell_length_c 5.456
_cell_angle_alpha 144.37
_cell_angle_beta 127.10
_cell_angle_gamma 65.42
_symmetry_space_group_name_H-M 'P 1'
_symmetry_Int_Tables_number 1
loop_
_symmetry_equiv_pos_as_xyz
'x,y,z'
loop_
_atom_site_label
_atom_site_type_symbol
_atom_site_fract_x
_atom_site_fract_y
_atom_site_fract_z
Y1 Y 0.000 0.000 0.000
Mn1 Mn 0.272 0.772 0.500
Mo1 Mo 0.524 0.524 0.000
Mo2 Mo 0.728 0.228 0.500
```

DFT formation energy: 39 kJ per mole of atoms
E above lowest polymorph: 163.8 meV/atom
Symmetry: Imm2, No. 44

Which formula does entry 8 have? Y3CrNi

Which formula does entry 11 have? Pm4ScAu5